Below is a relaxed LiTaAg crystal, with properties calculated at the PBE level.

Unit cell a=6.7726 b=6.7726 c=6.7726 alpha=156.19 beta=156.19 gamma=33.92
Element x y z (fractional)
Li: 0.0000 0.0000 0.0000
Ta: 0.6756 0.6756 0.0000
Ag: 0.3491 0.3491 0.0000

Values from the calculation:
Energy relative to the elements, eV/atom: 0.31
SG: I4mm (107)


Below is a relaxed LiTaAg3 crystal, with properties calculated at the PBE level.

Unit cell a=5.2117 b=5.2117 c=5.2117 alpha=90.00 beta=90.00 gamma=90.00
Element x y z (fractional)
Li: 0.0000 0.0000 0.0000
Ta: 0.5000 0.5000 0.5000
Ag: 0.0000 0.5000 0.5000
Ag: 0.5000 0.0000 0.5000
Ag: 0.5000 0.5000 0.0000

Values from the calculation:
Energy relative to the elements, eV/atom: 1.18
SG: Pm-3m (221)


Below is a relaxed LiTaAg2 crystal, with properties calculated at the PBE level.

Unit cell a=2.7840 b=4.9751 c=5.0632 alpha=90.00 beta=90.00 gamma=90.00
Element x y z (fractional)
Li: 0.0000 0.0000 0.0000
Ta: 0.5000 0.0000 0.5000
Ag: 0.0000 0.5000 0.5000
Ag: 0.5000 0.5000 0.0000

Values from the calculation:
Energy relative to the elements, eV/atom: 0.46
SG: Pmmm (47)